(1)
The following is a GGA-PBE calculation of a relaxed Ba2ZnAu crystal, from Alexandria via LeMat-Bulk.

Summary:
ΔE_f in meV per atom: 395

a b c (Å): 4.1943 7.0698 13.3114
angles (deg): 90.00 90.00 90.00
With the nearest neighbours (Å) after each atom.
Space group Immm (No. 71)
Asymmetric unit:
Ba: 0.0000 0.0000 0.2322 (multiplicity 4)  1 Au 3.09
Zn: 0.0000 0.0000 0.5000 (multiplicity 2)  2 Ba 3.56
Au: 0.0000 0.0000 0.0000 (multiplicity 2)  2 Ba 3.09

---

(2)
The following is a GGA-PBE calculation of a relaxed KBC crystal, from Alexandria via LeMat-Bulk.

Summary:
ΔE_f in meV per atom: 386

a b c (Å): 10.0041 5.4610 4.2282
angles (deg): 90.00 114.48 90.00
With the nearest neighbours (Å) after each atom.
Space group C2/m (No. 12)
Asymmetric unit:
K: 0.1738 0.0000 0.1765 (multiplicity 4)  6 C 3.08-3.29, 1 K 3.17, 6 B 3.24-3.26
B: 0.0001 0.5000 0.1902 (multiplicity 4)  2 C 1.54, 1 B 1.61
C: 0.0000 0.3535 0.5000 (multiplicity 4)  2 B 1.54, 1 C 1.60

---

(3)
The following is a GGA-PBE calculation of a relaxed Cd3Hg2Pb3 crystal, from Alexandria via LeMat-Bulk.

Summary:
ΔE_f in meV per atom: 48
Distance to the lowest polymorph of the same formula in eV per formula unit: 0.00

a b c (Å): 4.5960 4.9098 19.0318
angles (deg): 90.00 90.00 90.00
With the nearest neighbours (Å) after each atom.
Space group Immm (No. 71)
Asymmetric unit:
Cd: 0.0000 0.0000 0.0000 (multiplicity 2)  8 Pb 3.35-3.36, 4 Cd 3.47
Cd: 0.0000 0.5000 0.1292 (multiplicity 4)  4 Hg 3.21-3.40, 6 Pb 3.36-3.37, 2 Cd 3.47
Hg: 0.0000 0.0000 0.2531 (multiplicity 4)  4 Cd 3.21-3.40, 4 Pb 3.31-3.34, 4 Hg 3.36
Pb: 0.0000 0.0000 0.5000 (multiplicity 2)  8 Cd 3.36-3.37, 4 Pb 3.46
Pb: 0.0000 0.5000 0.3720 (multiplicity 4)  4 Hg 3.31-3.34, 6 Cd 3.35-3.36, 2 Pb 3.46

---

(4)
The following is a GGA-PBE calculation of a relaxed TbHo2Zn3 crystal, from Alexandria via LeMat-Bulk.

Summary:
ΔE_f in meV per atom: -341

a b c (Å): 3.5682 3.5682 10.6665
angles (deg): 90.00 90.00 90.00
With the nearest neighbours (Å) after each atom.
Space group P4/mmm (No. 123)
Asymmetric unit:
Tb: 0.0000 0.0000 0.0000 (multiplicity 1)  8 Zn 3.11
Ho: 0.0000 0.0000 0.3342 (multiplicity 2)  8 Zn 3.07-3.08
Zn: 0.5000 0.5000 0.1698 (multiplicity 2)  4 Ho 3.07, 4 Tb 3.11
Zn: 0.5000 0.5000 0.5000 (multiplicity 1)  8 Ho 3.08

---

(5)
The following is a GGA-PBE calculation of a relaxed Be3Tl5 crystal, from Alexandria via LeMat-Bulk.

Summary:
ΔE_f in meV per atom: 467
Distance to the lowest polymorph of the same formula in eV per formula unit: 0.00

a b c (Å): 5.6422 17.8526 6.9681
angles (deg): 90.00 91.31 90.00
With the nearest neighbours (Å) after each atom.
Space group Cm (No. 8)
Asymmetric unit:
Be: 0.0000 0.0000 0.0000 (multiplicity 2)  1 Be 2.38, 3 Tl 2.54-2.64
Be: 0.0577 0.2473 0.0373 (multiplicity 4)  6 Tl 2.73-2.92, 2 Be 2.82
Be: 0.0775 0.4014 0.5469 (multiplicity 4)  1 Be 2.35
Be: 0.2778 0.5000 0.7054 (multiplicity 2)  3 Be 2.35-2.38, 3 Tl 2.62
Tl: 0.2621 0.0000 0.6817 (multiplicity 2)  5 Be 2.69-2.91
Tl: 0.2710 0.1906 0.7216 (multiplicity 4)  3 Be 2.70-2.92
Tl: 0.2720 0.3759 0.9055 (multiplicity 4)  5 Be 2.62-2.86
Tl: 0.3126 0.1020 0.1967 (multiplicity 4)  3 Be 2.83-3.15
Tl: 0.3224 0.5000 0.3322 (multiplicity 2)  4 Be 2.54-2.71
Tl: 0.3286 0.3025 0.3563 (multiplicity 4)  3 Be 2.64-2.85

---

(6)
The following is a GGA-PBE calculation of a relaxed Pr6Sm3Th2 crystal, from Alexandria via LeMat-Bulk.

Summary:
ΔE_f in meV per atom: 27

a b c (Å): 3.6591 3.6591 99.0951
angles (deg): 90.00 90.00 120.00
With the nearest neighbours (Å) after each atom.
Space group R-3m (No. 166, hexagonal axes)
Asymmetric unit:
Pr: 0.0000 0.0000 0.0917 (multiplicity 6)  3 Th 3.60, 6 Pr 3.66, 3 Sm 3.75
Pr: 0.0000 0.0000 0.1831 (multiplicity 6)  3 Th 3.57, 9 Pr 3.66-3.89
Pr: 0.0000 0.0000 0.3637 (multiplicity 6)  6 Sm 3.65-3.68, 6 Pr 3.66
Sm: 0.0000 0.0000 0.0000 (multiplicity 3)  6 Sm 3.66, 6 Pr 3.68
Sm: 0.0000 0.0000 0.2729 (multiplicity 6)  6 Pr 3.65-3.75, 6 Sm 3.66
Th: 0.0000 0.0000 0.4544 (multiplicity 6)  6 Pr 3.57-3.60, 6 Th 3.66

---

(7)
The following is a GGA-PBE calculation of a relaxed OsRu2 crystal, from Alexandria via LeMat-Bulk.

Summary:
ΔE_f in meV per atom: 320
Distance to the lowest polymorph of the same formula in eV per formula unit: 0.99

a b c (Å): 2.7187 2.7187 23.8072
angles (deg): 90.00 90.00 90.00
With the nearest neighbours (Å) after each atom.
Space group I4_1/amd (No. 141, origin choice 2)
Asymmetric unit:
Os: 0.0000 0.2500 0.3750 (multiplicity 4)  8 Ru 2.68, 4 Os 2.72
Ru: 0.0000 0.2500 0.7967 (multiplicity 8)  6 Ru 2.61-2.72, 4 Os 2.68

---

(8)
The following is a GGA-PBE calculation of a relaxed Ca2CdPt crystal, from Alexandria via LeMat-Bulk.

Summary:
ΔE_f in meV per atom: -491

a b c (Å): 6.9599 4.0317 8.6643
angles (deg): 90.00 105.65 90.00
With the nearest neighbours (Å) after each atom.
Space group C2/m (No. 12)
Asymmetric unit:
Ca: 0.2326 0.0000 0.1979 (multiplicity 4)  3 Pt 2.85
Cd: 0.0000 0.0000 0.5000 (multiplicity 2)  6 Ca 3.43
Pt: 0.0000 0.5000 0.0000 (multiplicity 2)  6 Ca 2.85

---

> The lowest ΔE_f belongs to which entry?

Ca2CdPt

---

Repeat the first record exactly.
The following is a GGA-PBE calculation of a relaxed Ba2ZnAu crystal, from Alexandria via LeMat-Bulk.

Summary:
ΔE_f in meV per atom: 395

a b c (Å): 4.1943 7.0698 13.3114
angles (deg): 90.00 90.00 90.00
With the nearest neighbours (Å) after each atom.
Space group Immm (No. 71)
Asymmetric unit:
Ba: 0.0000 0.0000 0.2322 (multiplicity 4)  1 Au 3.09
Zn: 0.0000 0.0000 0.5000 (multiplicity 2)  2 Ba 3.56
Au: 0.0000 0.0000 0.0000 (multiplicity 2)  2 Ba 3.09

---

> The highest ΔE_f belongs to which entry?

Be3Tl5